VASP calculation (PBE) on an optimized crystal structure of TbNd2SmBi4.

## Properties
SG ... P2/m, No. 10
Energy of formation ... -0.92 eV per atom
Size of the total moment ... 0.0 Bohr magnetons per cell

```
TbNd2SmBi4
1.0
7.9094 0.0000 0.0000
0.0000 4.5707 0.0000
-2.6385 0.0000 7.4595
Tb Nd Sm Bi
1 2 1 4
Direct
0.0000 0.0000 0.0000
0.5000 0.0000 0.5000
0.5000 0.5000 0.0000
0.0000 0.5000 0.5000
0.2438 0.5000 0.2460
0.2453 0.0000 0.7504
0.7547 0.0000 0.2496
0.7562 0.5000 0.7540
```